<i>
# TaPt2Br

Crystalline TaPt2Br at its relaxed geometry (GGA-PBE, Alexandria).

a b c (Å): 3.479 3.479 23.396
angles (deg): 90.00 90.00 120.00
Sites, in units of the cell vectors:
Ta 0.000 0.000 0.000
Ta 0.333 0.667 0.667
Ta 0.667 0.333 0.333
Pt 0.000 0.000 0.262
Pt 0.000 0.000 0.738
Pt 0.333 0.667 0.405
Pt 0.333 0.667 0.929
Pt 0.667 0.333 0.071
Pt 0.667 0.333 0.595
Br 0.000 0.000 0.500
Br 0.333 0.667 0.167
Br 0.667 0.333 0.833

Results
Total magnetic moment   0.00 μB/f.u.
Calculated volume   20.43 Å³/atom
Space group   R-3m (166)


<ii>
# TaPt2Br

Crystalline TaPt2Br at its relaxed geometry (GGA-PBE, Alexandria).

a b c (Å): 2.822 3.273 8.362
angles (deg): 90.00 90.00 90.00
Sites, in units of the cell vectors:
Ta 0.000 0.000 0.000
Pt 0.500 0.500 0.206
Pt 0.500 0.500 0.794
Br 0.500 0.000 0.500

Results
Total magnetic moment   0.00 μB/f.u.
Calculated volume   19.31 Å³/atom
Space group   Pmmm (47)


<iii>
# TaPt2Br

Crystalline TaPt2Br at its relaxed geometry (GGA-PBE, Alexandria).

a b c (Å): 3.003 3.003 8.485
angles (deg): 90.00 90.00 90.00
Sites, in units of the cell vectors:
Ta 0.000 0.000 0.000
Pt 0.500 0.500 0.206
Pt 0.500 0.500 0.794
Br 0.000 0.000 0.500

Results
Total magnetic moment   0.00 μB/f.u.
Calculated volume   19.12 Å³/atom
Space group   P4/mmm (123)


Bottom line: <i>, by a margin of 6 meV per atom.


<i>
# TaPt2Br

Crystalline TaPt2Br at its relaxed geometry (GGA-PBE, Alexandria).

a b c (Å): 9.732 3.049 4.803
angles (deg): 90.00 97.08 90.00
Sites, in units of the cell vectors:
Ta 0.000 0.000 0.000
Ta 0.500 0.500 0.000
Pt 0.228 0.500 0.229
Pt 0.272 0.000 0.771
Pt 0.728 0.000 0.229
Pt 0.772 0.500 0.771
Br 0.000 0.500 0.500
Br 0.500 0.000 0.500

Results
Total magnetic moment   0.00 μB/f.u.
Calculated volume   17.68 Å³/atom
Space group   C2/m (12)


<ii>
# TaPt2Br

Crystalline TaPt2Br at its relaxed geometry (GGA-PBE, Alexandria).

a b c (Å): 5.063 5.063 2.817
angles (deg): 90.00 90.00 90.00
Sites, in units of the cell vectors:
Ta 0.000 0.000 0.000
Pt 0.000 0.500 0.500
Pt 0.500 0.000 0.500
Br 0.500 0.500 0.000

Results
Total magnetic moment   0.00 μB/f.u.
Calculated volume   18.06 Å³/atom
Space group   P4/mmm (123)


<iii>
# TaPt2Br

Crystalline TaPt2Br at its relaxed geometry (GGA-PBE, Alexandria).

a b c (Å): 6.601 6.601 6.601
angles (deg): 90.00 90.00 90.00
Sites, in units of the cell vectors:
Ta 0.000 0.000 0.000
Ta 0.000 0.500 0.500
Ta 0.500 0.000 0.500
Ta 0.500 0.500 0.000
Pt 0.250 0.250 0.250
Pt 0.250 0.250 0.750
Pt 0.250 0.750 0.250
Pt 0.250 0.750 0.750
Pt 0.750 0.250 0.250
Pt 0.750 0.250 0.750
Pt 0.750 0.750 0.250
Pt 0.750 0.750 0.750
Br 0.000 0.000 0.500
Br 0.000 0.500 0.000
Br 0.500 0.000 0.000
Br 0.500 0.500 0.500

Results
Total magnetic moment   0.00 μB/f.u.
Calculated volume   17.98 Å³/atom
Space group   Fm-3m (225)


<iv>
# TaPt2Br

Crystalline TaPt2Br at its relaxed geometry (GGA-PBE, Alexandria).

a b c (Å): 8.801 3.328 6.673
angles (deg): 90.00 101.91 90.00
Sites, in units of the cell vectors:
Ta 0.000 0.000 0.000
Ta 0.500 0.500 0.000
Pt 0.223 0.500 0.115
Pt 0.465 0.000 0.292
Pt 0.723 0.000 0.115
Pt 0.965 0.500 0.292
Br 0.390 0.000 0.683
Br 0.890 0.500 0.683

Results
Total magnetic moment   0.00 μB/f.u.
Calculated volume   23.91 Å³/atom
Space group   Cm (8)


Bottom line: <iv>, by a margin of 417 meV per atom.


<i>
# TaPt2Br

Crystalline TaPt2Br at its relaxed geometry (GGA-PBE, Alexandria).

a b c (Å): 5.438 8.744 2.966
angles (deg): 90.00 97.52 90.00
Sites, in units of the cell vectors:
Ta 0.000 0.000 0.000
Ta 0.500 0.500 0.000
Pt 0.250 0.250 0.500
Pt 0.250 0.750 0.500
Pt 0.750 0.250 0.500
Pt 0.750 0.750 0.500
Br 0.000 0.500 0.000
Br 0.500 0.000 0.000

Results
Total magnetic moment   0.00 μB/f.u.
Calculated volume   17.48 Å³/atom
Space group   C2/m (12)


<ii>
# TaPt2Br

Crystalline TaPt2Br at its relaxed geometry (GGA-PBE, Alexandria).

a b c (Å): 2.990 4.693 4.927
angles (deg): 90.00 90.00 90.00
Sites, in units of the cell vectors:
Ta 0.000 0.000 0.000
Pt 0.000 0.500 0.500
Pt 0.500 0.000 0.500
Br 0.500 0.500 0.000

Results
Total magnetic moment   0.00 μB/f.u.
Calculated volume   17.29 Å³/atom
Space group   Pmmm (47)


Bottom line: <i>, by a margin of 8 meV per atom.


<i>
# TaPtBr

Crystalline TaPtBr at its relaxed geometry (GGA-PBE, Alexandria).

a b c (Å): 6.294 6.294 6.294
angles (deg): 90.00 90.00 90.00
Sites, in units of the cell vectors:
Ta 0.000 0.000 0.000
Ta 0.000 0.500 0.500
Ta 0.500 0.000 0.500
Ta 0.500 0.500 0.000
Pt 0.250 0.250 0.750
Pt 0.250 0.750 0.250
Pt 0.750 0.250 0.250
Pt 0.750 0.750 0.750
Br 0.250 0.250 0.250
Br 0.250 0.750 0.750
Br 0.750 0.250 0.750
Br 0.750 0.750 0.250

Results
Total magnetic moment   0.00 μB/f.u.
Calculated volume   20.77 Å³/atom
Space group   F-43m (216)


<ii>
# TaPtBr

Crystalline TaPtBr at its relaxed geometry (GGA-PBE, Alexandria).

a b c (Å): 3.052 3.052 14.193
angles (deg): 90.00 90.00 90.00
Sites, in units of the cell vectors:
Ta 0.000 0.000 0.000
Ta 0.500 0.500 0.500
Pt 0.000 0.000 0.618
Pt 0.500 0.500 0.118
Br 0.000 0.000 0.375
Br 0.500 0.500 0.875

Results
Total magnetic moment   0.00 μB/f.u.
Calculated volume   22.04 Å³/atom
Space group   I4mm (107)


Bottom line: <ii>, by a margin of 381 meV per atom.


<i>
# TaPtBr

Crystalline TaPtBr at its relaxed geometry (GGA-PBE, Alexandria).

a b c (Å): 6.390 6.390 6.390
angles (deg): 90.00 90.00 90.00
Sites, in units of the cell vectors:
Ta 0.000 0.000 0.000
Ta 0.000 0.500 0.500
Ta 0.500 0.000 0.500
Ta 0.500 0.500 0.000
Pt 0.250 0.250 0.250
Pt 0.250 0.750 0.750
Pt 0.750 0.250 0.750
Pt 0.750 0.750 0.250
Br 0.000 0.000 0.500
Br 0.000 0.500 0.000
Br 0.500 0.000 0.000
Br 0.500 0.500 0.500

Results
Total magnetic moment   0.00 μB/f.u.
Calculated volume   21.74 Å³/atom
Space group   F-43m (216)


<ii>
# TaPtBr

Crystalline TaPtBr at its relaxed geometry (GGA-PBE, Alexandria).

a b c (Å): 4.503 4.503 3.071
angles (deg): 90.00 90.00 120.00
Sites, in units of the cell vectors:
Ta 0.000 0.000 0.000
Pt 0.333 0.667 0.502
Br 0.667 0.333 0.003

Results
Total magnetic moment   0.00 μB/f.u.
Calculated volume   17.98 Å³/atom
Space group   P3m1 (156)


Bottom line: <ii>, by a margin of 473 meV per atom.


<i>
# Tb2PtBr

Crystalline Tb2PtBr at its relaxed geometry (GGA-PBE, Alexandria).

a b c (Å): 3.853 7.316 7.952
angles (deg): 90.00 90.00 90.00
Sites, in units of the cell vectors:
Tb 0.250 0.005 0.198
Tb 0.250 0.495 0.198
Tb 0.750 0.505 0.802
Tb 0.750 0.995 0.802
Pt 0.250 0.750 0.927
Pt 0.750 0.250 0.073
Br 0.250 0.250 0.569
Br 0.750 0.750 0.431

Results
Total magnetic moment   0.00 μB/f.u.
Calculated volume   28.02 Å³/atom
Space group   Pmmn (59)


<ii>
# Tb2PtBr

Crystalline Tb2PtBr at its relaxed geometry (GGA-PBE, Alexandria).

a b c (Å): 4.109 4.109 23.195
angles (deg): 90.00 90.00 120.00
Sites, in units of the cell vectors:
Tb 0.000 0.000 0.000
Tb 0.000 0.000 0.206
Tb 0.333 0.667 0.667
Tb 0.333 0.667 0.873
Tb 0.667 0.333 0.333
Tb 0.667 0.333 0.539
Pt 0.000 0.000 0.603
Pt 0.333 0.667 0.270
Pt 0.667 0.333 0.937
Br 0.000 0.000 0.774
Br 0.333 0.667 0.441
Br 0.667 0.333 0.108

Results
Total magnetic moment   0.00 μB/f.u.
Calculated volume   28.26 Å³/atom
Space group   R3m (160)


<iii>
# Tb2PtBr

Crystalline Tb2PtBr at its relaxed geometry (GGA-PBE, Alexandria).

a b c (Å): 4.107 4.107 22.751
angles (deg): 90.00 90.00 120.00
Sites, in units of the cell vectors:
Tb 0.000 0.000 0.232
Tb 0.000 0.000 0.768
Tb 0.333 0.667 0.435
Tb 0.333 0.667 0.899
Tb 0.667 0.333 0.101
Tb 0.667 0.333 0.565
Pt 0.000 0.000 0.500
Pt 0.333 0.667 0.167
Pt 0.667 0.333 0.833
Br 0.000 0.000 0.000
Br 0.333 0.667 0.667
Br 0.667 0.333 0.333

Results
Total magnetic moment   0.00 μB/f.u.
Calculated volume   27.70 Å³/atom
Space group   R-3m (166)


Bottom line: <iii>, by a margin of 28 meV per atom.


<i>
# Tc2PtBr

Crystalline Tc2PtBr at its relaxed geometry (GGA-PBE, Alexandria).

a b c (Å): 10.075 2.871 4.715
angles (deg): 90.00 103.73 90.00
Sites, in units of the cell vectors:
Tc 0.000 0.000 0.000
Tc 0.191 0.500 0.338
Tc 0.500 0.500 0.000
Tc 0.691 0.000 0.338
Pt 0.256 0.000 0.902
Pt 0.756 0.500 0.902
Br 0.473 0.000 0.541
Br 0.973 0.500 0.541

Results
Total magnetic moment   0.00 μB/f.u.
Calculated volume   16.56 Å³/atom
Space group   Cm (8)


<ii>
# Tc2PtBr

Crystalline Tc2PtBr at its relaxed geometry (GGA-PBE, Alexandria).

a b c (Å): 2.863 2.863 28.311
angles (deg): 90.00 90.00 120.00
Sites, in units of the cell vectors:
Tc 0.000 0.000 0.000
Tc 0.000 0.000 0.261
Tc 0.333 0.667 0.667
Tc 0.333 0.667 0.928
Tc 0.667 0.333 0.333
Tc 0.667 0.333 0.595
Pt 0.000 0.000 0.515
Pt 0.333 0.667 0.181
Pt 0.667 0.333 0.848
Br 0.000 0.000 0.744
Br 0.333 0.667 0.410
Br 0.667 0.333 0.077

Results
Total magnetic moment   0.00 μB/f.u.
Calculated volume   16.74 Å³/atom
Space group   R3m (160)


<iii>
# Tc2PtBr

Crystalline Tc2PtBr at its relaxed geometry (GGA-PBE, Alexandria).

a b c (Å): 2.872 2.872 8.616
angles (deg): 90.00 90.00 90.00
Sites, in units of the cell vectors:
Tc 0.000 0.000 0.000
Tc 0.500 0.500 0.198
Pt 0.500 0.500 0.780
Br 0.000 0.000 0.413

Results
Total magnetic moment   0.00 μB/f.u.
Calculated volume   17.76 Å³/atom
Space group   P4mm (99)


Bottom line: <iii>, by a margin of 17 meV per atom.


<i>
# Tc2PtBr

Crystalline Tc2PtBr at its relaxed geometry (GGA-PBE, Alexandria).

a b c (Å): 2.850 5.057 9.244
angles (deg): 90.00 90.00 90.00
Sites, in units of the cell vectors:
Tc 0.000 0.000 0.248
Tc 0.000 0.000 0.752
Tc 0.500 0.500 0.248
Tc 0.500 0.500 0.752
Pt 0.000 0.500 0.000
Pt 0.500 0.000 0.000
Br 0.000 0.500 0.500
Br 0.500 0.000 0.500

Results
Total magnetic moment   2.10 μB/f.u.
Calculated volume   16.65 Å³/atom
Space group   Cmmm (65)


<ii>
# Tc2PtBr

Crystalline Tc2PtBr at its relaxed geometry (GGA-PBE, Alexandria).

a b c (Å): 2.965 3.740 6.466
angles (deg): 90.00 90.00 90.00
Sites, in units of the cell vectors:
Tc 0.000 0.000 0.190
Tc 0.000 0.000 0.810
Pt 0.500 0.500 0.000
Br 0.000 0.500 0.500

Results
Total magnetic moment   0.00 μB/f.u.
Calculated volume   17.93 Å³/atom
Space group   Pmmm (47)


Bottom line: <ii>, by a margin of 364 meV per atom.


<i>
# Tc2PtBr

Crystalline Tc2PtBr at its relaxed geometry (GGA-PBE, Alexandria).

a b c (Å): 2.871 4.795 10.255
angles (deg): 90.00 90.00 90.00
Sites, in units of the cell vectors:
Tc 0.000 0.000 0.000
Tc 0.000 0.500 0.203
Tc 0.500 0.000 0.203
Tc 0.500 0.500 0.000
Pt 0.000 0.000 0.434
Pt 0.500 0.500 0.434
Br 0.000 0.500 0.756
Br 0.500 0.000 0.756

Results
Total magnetic moment   0.00 μB/f.u.
Calculated volume   17.65 Å³/atom
Space group   Cmm2 (35)


<ii>
# Tc2PtBr

Crystalline Tc2PtBr at its relaxed geometry (GGA-PBE, Alexandria).

a b c (Å): 9.096 2.909 7.452
angles (deg): 90.00 121.63 90.00
Sites, in units of the cell vectors:
Tc 0.218 0.000 0.346
Tc 0.282 0.500 0.654
Tc 0.718 0.500 0.346
Tc 0.782 0.000 0.654
Pt 0.000 0.000 0.500
Pt 0.500 0.500 0.500
Br 0.000 0.500 0.000
Br 0.500 0.000 0.000

Results
Total magnetic moment   0.00 μB/f.u.
Calculated volume   20.99 Å³/atom
Space group   C2/m (12)


Bottom line: <ii>, by a margin of 87 meV per atom.


<i>
# TePt2Br2

Crystalline TePt2Br2 at its relaxed geometry (GGA-PBE, Alexandria).

a b c (Å): 8.833 8.833 2.938
angles (deg): 90.00 90.00 90.00
Sites, in units of the cell vectors:
Te 0.000 0.000 0.000
Te 0.500 0.500 0.000
Pt 0.208 0.292 0.500
Pt 0.292 0.792 0.500
Pt 0.708 0.208 0.500
Pt 0.792 0.708 0.500
Br 0.124 0.624 0.000
Br 0.376 0.124 0.000
Br 0.624 0.876 0.000
Br 0.876 0.376 0.000

Results
Total magnetic moment   0.00 μB/f.u.
Calculated volume   22.92 Å³/atom
Space group   P4/mbm (127)


<ii>
# TePt2Br2

Crystalline TePt2Br2 at its relaxed geometry (GGA-PBE, Alexandria).

a b c (Å): 3.747 3.747 17.292
angles (deg): 90.00 90.00 90.00
Sites, in units of the cell vectors:
Te 0.000 0.000 0.000
Te 0.500 0.500 0.500
Pt 0.000 0.500 0.250
Pt 0.000 0.500 0.750
Pt 0.500 0.000 0.250
Pt 0.500 0.000 0.750
Br 0.000 0.000 0.372
Br 0.000 0.000 0.628
Br 0.500 0.500 0.128
Br 0.500 0.500 0.872

Results
Total magnetic moment   0.00 μB/f.u.
Calculated volume   24.28 Å³/atom
Space group   I4/mmm (139)


Bottom line: <ii>, by a margin of 231 meV per atom.


<i>
# Te3PtBr

Crystalline Te3PtBr at its relaxed geometry (GGA-PBE, Alexandria).

a b c (Å): 5.456 5.456 5.456
angles (deg): 90.00 90.00 90.00
Sites, in units of the cell vectors:
Te 0.000 0.000 0.500
Te 0.000 0.500 0.000
Te 0.500 0.000 0.000
Pt 0.500 0.500 0.500
Br 0.000 0.000 0.000

Results
Total magnetic moment   0.00 μB/f.u.
Calculated volume   32.48 Å³/atom
Space group   Pm-3m (221)


<ii>
# Te3PtBr

Crystalline Te3PtBr at its relaxed geometry (GGA-PBE, Alexandria).

a b c (Å): 5.346 5.346 5.346
angles (deg): 90.00 90.00 90.00
Sites, in units of the cell vectors:
Te 0.000 0.000 0.500
Te 0.000 0.500 0.000
Te 0.500 0.000 0.000
Pt 0.000 0.000 0.000
Br 0.500 0.500 0.500

Results
Total magnetic moment   0.00 μB/f.u.
Calculated volume   30.56 Å³/atom
Space group   Pm-3m (221)


Bottom line: <ii>, by a margin of 1015 meV per atom.


<i>
# Ti2PtBr

Crystalline Ti2PtBr at its relaxed geometry (GGA-PBE, Alexandria).

a b c (Å): 6.472 6.472 6.472
angles (deg): 90.00 90.00 90.00
Sites, in units of the cell vectors:
Ti 0.250 0.250 0.250
Ti 0.250 0.250 0.750
Ti 0.250 0.750 0.250
Ti 0.250 0.750 0.750
Ti 0.750 0.250 0.250
Ti 0.750 0.250 0.750
Ti 0.750 0.750 0.250
Ti 0.750 0.750 0.750
Pt 0.000 0.000 0.000
Pt 0.000 0.500 0.500
Pt 0.500 0.000 0.500
Pt 0.500 0.500 0.000
Br 0.000 0.000 0.500
Br 0.000 0.500 0.000
Br 0.500 0.000 0.000
Br 0.500 0.500 0.500

Results
Total magnetic moment   0.00 μB/f.u.
Calculated volume   16.94 Å³/atom
Space group   Fm-3m (225)


<ii>
# Ti2PtBr

Crystalline Ti2PtBr at its relaxed geometry (GGA-PBE, Alexandria).

a b c (Å): 6.856 6.856 6.440
angles (deg): 90.00 90.00 90.00
Sites, in units of the cell vectors:
Ti 0.249 0.250 0.125
Ti 0.250 0.749 0.375
Ti 0.250 0.751 0.875
Ti 0.251 0.250 0.625
Ti 0.749 0.750 0.625
Ti 0.750 0.249 0.875
Ti 0.750 0.251 0.375
Ti 0.751 0.750 0.125
Pt 0.000 0.000 0.000
Pt 0.000 0.500 0.250
Pt 0.500 0.000 0.750
Pt 0.500 0.500 0.500
Br 0.000 0.000 0.500
Br 0.000 0.500 0.750
Br 0.500 0.000 0.250
Br 0.500 0.500 0.000

Results
Total magnetic moment   0.00 μB/f.u.
Calculated volume   18.92 Å³/atom
Space group   I-42d (122)


Bottom line: <i>, by a margin of 64 meV per atom.